Entry 1:
Entry from Alexandria via LeMat-Bulk: an optimized crystal structure of LaGa2BiRh (PBE-GGA).

The value obtained for the energy relative to the elements is -579 meV per atom. For the raw total energy, the calculation gives -5.02 eV per atom.

The structure belongs to space group P4/mmm (No. 123); the cell edges are 4.873, 4.873 and 5.431 Å and the angles 90.00°, 90.00° and 90.00°. The distinct sites, in fractional coordinates, are La at (0.000, 0.000, 0.000), Ga at (0.000, 0.500, 0.500), Bi at (0.500, 0.500, 0.000) and Rh at (0.000, 0.000, 0.500).


Entry 2:
Entry from Alexandria via LeMat-Bulk: an optimized crystal structure of Ba3ZrTa (PBE-GGA).

The value obtained for the energy relative to the elements is 1819 meV per atom. For the raw total energy, the calculation gives -3.41 eV per atom.

The structure belongs to space group Pm-3m (No. 221); the cell edges are 6.035, 6.035 and 6.035 Å and the angles 90.00°, 90.00° and 90.00°. The distinct sites, in fractional coordinates, are Ba at (0.000, 0.000, 0.500), Zr at (0.000, 0.000, 0.000) and Ta at (0.500, 0.500, 0.500).


Entry 3:
Entry from Alexandria via LeMat-Bulk: an optimized crystal structure of Pr2Dy2Tl5 (PBE-GGA).

The value obtained for the energy relative to the elements is -180 meV per atom. For the raw total energy, the calculation gives -3.58 eV per atom.

The structure belongs to space group Ima2 (No. 46); the cell edges are 15.268, 7.327 and 9.903 Å and the angles 90.00°, 90.00° and 90.00°. The distinct sites, in fractional coordinates, are Pr at (0.128, 0.035, 0.000), Dy at (0.000, 0.000, 0.433), Dy at (0.250, 0.517, 0.064), Tl at (0.042, 0.193, 0.713), Tl at (0.152, 0.709, 0.780) and Tl at (0.250, 0.200, 0.283).


Entry 4:
Entry from Alexandria via LeMat-Bulk: an optimized crystal structure of DyThMgMn (PBE-GGA).

The value obtained for the energy relative to the elements is 155 meV per atom. For the raw total energy, the calculation gives -5.54 eV per atom.

The structure belongs to space group F-43m (No. 216); the cell edges are 7.365, 7.365 and 7.365 Å and the angles 90.00°, 90.00° and 90.00°. The distinct sites, in fractional coordinates, are Dy at (0.000, 0.000, 0.000), Th at (0.000, 0.000, 0.500), Mg at (0.250, 0.250, 0.750) and Mn at (0.250, 0.250, 0.250).


Entry 5:
Entry from Alexandria via LeMat-Bulk: an optimized crystal structure of CuReAs2Se (PBE-GGA).

The calculation puts the energy above the most stable polymorph in this dataset at 0.000 eV/atom. For the raw total energy, the calculation gives -5.02 eV per atom.

The structure belongs to space group P4/mmm (No. 123); the cell edges are 4.713, 4.713 and 5.300 Å and the angles 90.00°, 90.00° and 90.00°. The distinct sites, in fractional coordinates, are Cu at (0.000, 0.000, 0.000), Re at (0.500, 0.500, 0.500), As at (0.000, 0.500, 0.500) and Se at (0.500, 0.500, 0.000).


Entry 6:
Entry from Alexandria via LeMat-Bulk: an optimized crystal structure of CaZrNbTe2 (PBE-GGA).

For the raw total energy, the calculation gives -5.20 eV per atom.

The structure belongs to space group P4/mmm (No. 123); the cell edges are 5.677, 5.677 and 4.991 Å and the angles 90.00°, 90.00° and 90.00°. The distinct sites, in fractional coordinates, are Ca at (0.000, 0.000, 0.000), Zr at (0.500, 0.500, 0.500), Nb at (0.500, 0.500, 0.000) and Te at (0.000, 0.500, 0.500).


Entry 7:
Entry from Alexandria via LeMat-Bulk: an optimized crystal structure of VIn (PBE-GGA).

The value obtained for the energy relative to the elements is 822 meV per atom. For the raw total energy, the calculation gives -5.11 eV per atom.

The structure belongs to space group Fm-3m (No. 225); the cell edges are 5.434, 5.434 and 5.434 Å and the angles 90.00°, 90.00° and 90.00°. The distinct sites, in fractional coordinates, are V at (0.000, 0.000, 0.000) and In at (0.000, 0.000, 0.500).


Entry 8:
Entry from Alexandria via LeMat-Bulk: an optimized crystal structure of CaP2Cl (PBE-GGA).

The calculation puts the energy above the most stable polymorph in this dataset at 0.331 eV/atom. For the raw total energy, the calculation gives -4.31 eV per atom.

The structure belongs to space group P4/mmm (No. 123); the cell edges are 4.247, 4.247 and 5.471 Å and the angles 90.00°, 90.00° and 90.00°. The distinct sites, in fractional coordinates, are Ca at (0.000, 0.000, 0.000), P at (0.500, 0.500, 0.185) and Cl at (0.000, 0.000, 0.500).